A plane-wave DFT calculation with PBE with a Hubbard U was carried out for a relaxed structure of PaMn2InO6.

Summary:
Its total magnetization is 4.000 μB per formula unit. Its space group is P1 (1). As for the raw total energy: -0.2835 Ha/atom.

Cell lengths 5.535, 5.542, 5.868 Å; angles 61.88, 61.87, 60.08 degrees
Sites, in units of the cell vectors:
Pa 0.000 0.000 0.000
Mn 0.285 0.286 0.145
Mn 0.797 0.796 0.609
In 0.496 0.498 0.508
O 0.084 0.407 0.808
O 0.196 0.893 0.310
O 0.405 0.702 0.807
O 0.601 0.194 0.313
O 0.700 0.090 0.808
O 0.893 0.602 0.310